NdAl4Cu4: relaxed, GGA-PBE.

Unit cell a=5.9320 b=5.9320 c=8.4362 alpha=90.00 beta=90.00 gamma=90.00
Closest atoms and distances in Å follow each position.
Space group P4_2/nmc (No. 137, origin choice 2)
One atom of each set of equivalent atoms:
Nd: 0.2500 0.7500 0.2500 (multiplicity 2)  4 Cu 3.15, 8 Al 3.40
Al: 0.0156 0.2500 0.1442 (multiplicity 8)  5 Cu 2.46-2.53
Cu: 0.0452 0.2500 0.4391 (multiplicity 8)  1 Cu 2.43, 5 Al 2.46-2.53

Computed properties:
- Density: 5.7 Mg/m³
- Formation energy: -0.308 eV per atom